1.
Density functional theory data (PBE) for a relaxed structure of Tb2Ho3Co2.

Space group: C2/m
Crystal system: monoclinic
Total energy in eV/atom: -5.483
M_tot in μB per atom: 0.00
Calculated density in Mg/m³: 8.94

Structure (CIF):
```
data_Tb2Ho3Co2
_symmetry_space_group_name_H-M 'P 1'
_symmetry_Int_Tables_number 1
_cell_length_a 6.2509
_cell_length_b 6.2509
_cell_length_c 8.8451
_cell_angle_alpha 115.06
_cell_angle_beta 115.06
_cell_angle_gamma 33.90
loop_
_symmetry_equiv_pos_as_xyz
'x,y,z'
loop_
_atom_site_label
_atom_site_type_symbol
_atom_site_fract_x
_atom_site_fract_y
_atom_site_fract_z
_atom_site_occupancy
Tb1 Tb 0.1715 0.1715 0.3033 1
Tb2 Tb 0.8285 0.8285 0.6967 1
Ho1 Ho 0.3817 0.3817 0.0735 1
Ho2 Ho 0.5000 0.5000 0.5000 1
Ho3 Ho 0.6183 0.6183 0.9265 1
Co1 Co 0.1781 0.1781 0.7418 1
Co2 Co 0.8219 0.8219 0.2582 1
```

---

2.
Density functional theory data (PBE) for a relaxed structure of CsCuTc3.

Space group: Pm-3m
Excess energy over the best structure of this formula in the dataset in kJ/mol of formula units: 570
Crystal system: cubic
M_tot in μB per atom: 0.89
Calculated density in Mg/m³: 6.94

Structure (CIF):
```
data_CsCuTc3
_symmetry_space_group_name_H-M 'P 1'
_symmetry_Int_Tables_number 1
_cell_length_a 4.8952
_cell_length_b 4.8952
_cell_length_c 4.8952
_cell_angle_alpha 90.00
_cell_angle_beta 90.00
_cell_angle_gamma 90.00
loop_
_symmetry_equiv_pos_as_xyz
'x,y,z'
loop_
_atom_site_label
_atom_site_type_symbol
_atom_site_fract_x
_atom_site_fract_y
_atom_site_fract_z
_atom_site_occupancy
Cs1 Cs 0.0000 0.0000 0.0000 1
Cu1 Cu 0.5000 0.5000 0.5000 1
Tc1 Tc 0.0000 0.0000 0.5000 1
Tc2 Tc 0.0000 0.5000 0.0000 1
Tc3 Tc 0.5000 0.0000 0.0000 1
```

---

Question: Which of these has the highest calculated density?
Answer: Tb2Ho3Co2

---

Repeat the first record exactly.
Density functional theory data (PBE) for a relaxed structure of Tb2Ho3Co2.

Space group: C2/m
Crystal system: monoclinic
Total energy in eV/atom: -5.483
M_tot in μB per atom: 0.00
Calculated density in Mg/m³: 8.94

Structure (CIF):
```
data_Tb2Ho3Co2
_symmetry_space_group_name_H-M 'P 1'
_symmetry_Int_Tables_number 1
_cell_length_a 6.2509
_cell_length_b 6.2509
_cell_length_c 8.8451
_cell_angle_alpha 115.06
_cell_angle_beta 115.06
_cell_angle_gamma 33.90
loop_
_symmetry_equiv_pos_as_xyz
'x,y,z'
loop_
_atom_site_label
_atom_site_type_symbol
_atom_site_fract_x
_atom_site_fract_y
_atom_site_fract_z
_atom_site_occupancy
Tb1 Tb 0.1715 0.1715 0.3033 1
Tb2 Tb 0.8285 0.8285 0.6967 1
Ho1 Ho 0.3817 0.3817 0.0735 1
Ho2 Ho 0.5000 0.5000 0.5000 1
Ho3 Ho 0.6183 0.6183 0.9265 1
Co1 Co 0.1781 0.1781 0.7418 1
Co2 Co 0.8219 0.8219 0.2582 1
```